--- i ---
The following is a DFT calculation (PBE+U) of crystalline NaVIO2 at its relaxed geometry.

Symmetry: P4/mmm

a = 4.250 Å, b = 4.250 Å, c = 5.535 Å
α = 90.00°, β = 90.00°, γ = 90.00°
Site moments in Bohr magnetons follow the coordinates.
Atoms (fractional coordinates):
I 0.000 0.000 0.500  -0.11
Na 0.000 0.000 0.000  0.01
O 0.000 0.500 0.000  0.10
O 0.500 0.000 0.000  0.10
V 0.500 0.500 0.500  2.84

=====

--- ii ---
The following is a DFT calculation (PBE+U) of crystalline NaVIO2 at its relaxed geometry.

Symmetry: P4/mmm

a = 3.919 Å, b = 5.821 Å, c = 3.919 Å
α = 90.00°, β = 90.00°, γ = 90.00°
Site moments in Bohr magnetons follow the coordinates.
Atoms (fractional coordinates):
I 0.000 0.500 0.000  -0.02
Na 0.500 0.500 0.500  0.00
O 0.000 0.000 0.500  -0.13
O 0.500 0.000 0.000  -0.29
V 0.000 0.000 0.000  1.41

=====

Stability, highest: ii

=====

--- i ---
The following is a DFT calculation (PBE+U) of crystalline NaWI2O at its relaxed geometry.

Symmetry: P4/mmm

a = 5.778 Å, b = 5.778 Å, c = 4.171 Å
α = 90.00°, β = 90.00°, γ = 90.00°
Site moments in Bohr magnetons follow the coordinates.
Atoms (fractional coordinates):
I 0.000 0.500 0.000  -0.04
I 0.500 0.000 0.000  -0.04
Na 0.000 0.000 0.000  0.00
O 0.000 0.000 0.500  0.02
W 0.500 0.500 0.500  3.62

=====

--- ii ---
The following is a DFT calculation (PBE+U) of crystalline NaWI2O at its relaxed geometry.

Symmetry: P4/mmm

a = 6.087 Å, b = 6.087 Å, c = 3.936 Å
α = 90.00°, β = 90.00°, γ = 90.00°
Site moments in Bohr magnetons follow the coordinates.
Atoms (fractional coordinates):
I 0.000 0.500 0.000  0.00
I 0.500 0.000 0.000  0.00
Na 0.500 0.500 0.500  0.00
O 0.000 0.000 0.500  -0.21
W 0.000 0.000 0.000  2.68

=====

Stability, highest: ii